Run A
{
  "formula": "NiAgP2O",
  "functional": "GGA+U",
  "state": "optimized geometry",
  "lattice_angstrom": [[-0.238, -4.590, 1.547], [4.269, 0.533, 2.239], [-1.854, 1.192, 3.252]],
  "species": ["Ag", "P", "Ni", "P", "O"],
  "fractional_positions": [[0.000, 0.000, 0.000], [0.500, 0.000, 0.000], [0.500, 0.500, 0.500], [0.000, 0.500, 0.000], [0.000, 0.000, 0.500]]
}

***

Run B
{
  "formula": "NiAgP2O",
  "functional": "GGA+U",
  "state": "optimized geometry",
  "lattice_angstrom": [[4.665, 0.000, 0.000], [0.000, 4.665, 0.000], [0.000, 0.000, 3.440]],
  "species": ["Ag", "P", "P", "Ni", "O"],
  "fractional_positions": [[0.500, 0.500, 0.500], [0.500, 0.000, 0.000], [0.000, 0.500, 0.000], [0.000, 0.000, 0.000], [0.000, 0.000, 0.500]]
}

***

Preferred: run B; penalty for the next structure: 0.677 eV/atom.